[1]
First-principles (PBE) data for a geometry-optimized BaSr3Rh structure, as listed in Alexandria.

## Properties
**Space group**: P1 (1)
**Crystal system**: triclinic
**Magnetic moment**: 0.00 μB per formula unit
**Density of states at the Fermi level**: 8.872 states/eV/cell

abc: 7.4616 7.5931 8.6555
angles: 90.14 106.56 99.13
Closest atoms and distances in Å follow each position.
Positions (direct):
Ba 0.0000 0.0000 0.0000  1 Rh 2.92
Ba 0.4921 0.7503 0.1282  1 Rh 2.92
Sr 0.0039 0.4909 0.2634  1 Rh 2.88
Sr 0.0115 0.5125 0.7458  2 Rh 3.01-3.03
Sr 0.0189 0.0096 0.5195  2 Rh 2.97-3.06
Sr 0.4766 0.7371 0.6302  2 Rh 2.97-3.06
Sr 0.4798 0.2437 0.8626  2 Rh 3.01-3.02
Sr 0.4935 0.2514 0.3891  1 Rh 2.89
Rh 0.2459 0.3743 0.5532  6 Sr 2.88-3.03
Rh 0.2510 0.8756 0.8350  2 Ba 2.92, 4 Sr 3.01-3.06



[2]
First-principles (PBE) data for a geometry-optimized BaSr3Rh structure, as listed in Alexandria.

## Properties
**Space group**: Cmcm (63)
**Crystal system**: orthorhombic
**Magnetic moment**: 0.00 μB per formula unit
**Density of states at the Fermi level**: 15.186 states/eV/cell

abc: 8.0131 8.0131 7.3892
angles: 90.00 90.00 106.55
Closest atoms and distances in Å follow each position.
Positions (direct):
Ba 0.0844 0.9156 0.7500  1 Rh 2.82
Ba 0.9156 0.0844 0.2500  1 Rh 2.82
Sr 0.0076 0.5954 0.2500  1 Rh 2.89
Sr 0.4046 0.9924 0.2500  1 Rh 2.89
Sr 0.5000 0.5000 0.0000  2 Rh 3.12
Sr 0.5000 0.5000 0.5000  2 Rh 3.12
Sr 0.5954 0.0076 0.7500  1 Rh 2.89
Sr 0.9924 0.4046 0.7500  1 Rh 2.89
Rh 0.3042 0.6958 0.7500  1 Ba 2.82, 4 Sr 2.89-3.12
Rh 0.6958 0.3042 0.2500  1 Ba 2.82, 4 Sr 2.89-3.12



[3]
First-principles (PBE) data for a geometry-optimized BaSr2Rh structure, as listed in Alexandria.

## Properties
**Space group**: C2/m (12)
**Crystal system**: monoclinic
**Magnetic moment**: 0.00 μB per formula unit
**Density of states at the Fermi level**: 3.432 states/eV/cell

abc: 6.8661 6.8661 3.9772
angles: 104.19 104.19 118.44
Closest atoms and distances in Å follow each position.
Positions (direct):
Ba 0.0000 0.0000 0.0000  4 Rh 3.51-3.84, 4 Sr 3.52
Sr 0.0000 0.5000 0.5000  4 Sr 3.51-3.84, 2 Ba 3.52, 2 Rh 3.52
Sr 0.5000 0.0000 0.5000  4 Sr 3.51-3.84, 2 Ba 3.52, 2 Rh 3.52
Rh 0.5000 0.5000 0.0000  4 Ba 3.51-3.84, 4 Sr 3.52



Number 1: offset from the most stable computed form 6 meV/atom, uncorrected energy -3.04 eV/atom. Number 2: offset from the most stable computed form 153 meV/atom, uncorrected energy -2.90 eV/atom. Number 3: offset from the most stable computed form 582 meV/atom, uncorrected energy -2.77 eV/atom.